Entry 1:
LiNd2CoO6: relaxed, PBE+U.

Computed properties:
The value obtained for the total energy is -6.859 eV per atom. The total magnetization comes out at 2.1 μB per formula unit. For the volume, the calculation gives 227.58 Å³/cell.

Lattice parameters (Å, degrees): 5.3735 5.5335 9.3294 90.00 124.88 90.00
Space group P2_1/c (No. 14)
Asymmetric unit:
Li 0.0000 0.0000 0.0000
Nd 0.2356 0.0564 0.7477
Co 0.5000 0.0000 0.5000
O 0.1807 0.1963 0.4605
O 0.2701 0.7257 0.4607
O 0.3338 0.0148 0.2603

---

Entry 2:
LiNd2CoO5: relaxed, PBE+U.

Computed properties:
The value obtained for the total energy is -6.881 eV per atom. The total magnetization comes out at 2.0 μB per formula unit. For the volume, the calculation gives 253.38 Å³/cell.

Lattice parameters (Å, degrees): 6.7508 6.7508 5.5598 90.00 90.00 90.00
Space group P4/mbm (No. 127)
Asymmetric unit:
Li 0.0000 0.0000 0.0000
Nd 0.1773 0.3227 0.5000
Co 0.0000 0.5000 0.0000
O 0.0000 0.0000 0.5000
O 0.1325 0.6325 0.2363